First-principles (PBE) data for a relaxed structure of Cu2Sn5, as listed in OQMD via LeMat-Bulk.

Computed properties:
raw total energy: -25.3 eV per formula unit

Lattice parameters (Å, degrees): 5.0403 5.0403 23.9671 90.00 90.00 120.00
With the nearest neighbours (Å) after each atom.
Space group R3m (No. 160, hexagonal axes)
Asymmetric unit:
Cu 0.0000 0.0000 0.0000 [3 per cell]  7 Sn 3.03-3.10
Cu 0.0000 0.0000 0.4941 [3 per cell]  5 Sn 2.91-3.11
Sn 0.0000 0.0000 0.2387 [3 per cell]  7 Sn 3.01-3.21
Sn 0.0000 0.0000 0.3728 [3 per cell]  4 Cu 2.91-3.06, 4 Sn 3.11-3.21
Sn 0.0000 0.0000 0.6226 [3 per cell]  4 Cu 3.08-3.10, 4 Sn 3.09-3.15
Sn 0.0000 0.0000 0.7516 [3 per cell]  5 Sn 2.92-3.11
Sn 0.0000 0.0000 0.8734 [3 per cell]  4 Sn 2.92-3.01, 4 Cu 3.03-3.11